Record 1
CoCuHg2: relaxed, PBE.

Unit cell a=6.390 b=6.390 c=6.390 alpha=90.00 beta=90.00 gamma=90.00
Space group Fm-3m (No. 225)
Inequivalent atoms, fractional coordinates:
1 Co 0.000 0.000 0.000 x4
2 Cu 0.000 0.000 0.500 x4
3 Hg 0.250 0.250 0.250 x8

Output
* energy of formation: 386 meV per atom
* DFT total energy: -41.05 eV per cell

=====

Record 2
Co3AgH: relaxed, PBE.

Unit cell a=3.735 b=3.735 c=3.735 alpha=90.00 beta=90.00 gamma=90.00
Space group Pm-3m (No. 221)
Inequivalent atoms, fractional coordinates:
1 Co 0.000 0.000 0.500 x3
2 Ag 0.500 0.500 0.500 x1
3 H 0.000 0.000 0.000 x1

Output
* DFT total energy: -26.18 eV per cell

=====

Record 3
Cd2In7Sn: relaxed, PBE.

Unit cell a=8.839 b=20.035 c=3.293 alpha=90.00 beta=90.00 gamma=90.00
Space group Cmmm (No. 65)
Inequivalent atoms, fractional coordinates:
1 Cd 0.000 0.211 0.000 x4
2 In 0.000 0.341 0.500 x4
3 In 0.000 0.500 0.000 x2
4 In 0.216 0.096 0.000 x8
5 Sn 0.000 0.000 0.500 x2

Output
* energy of formation: 86 meV per atom
* DFT total energy: -48.28 eV per cell

=====

Record 4
Th4BSe2S: relaxed, PBE.

Unit cell a=7.050 b=4.058 c=7.306 alpha=90.00 beta=108.68 gamma=90.00
Space group P2/m (No. 10)
Inequivalent atoms, fractional coordinates:
1 Th 0.225 0.000 0.213 x2
2 Th 0.246 0.500 0.778 x2
3 B 0.000 0.500 0.000 x1
4 Se 0.000 0.000 0.500 x1
5 Se 0.500 0.500 0.500 x1
6 S 0.500 0.000 0.000 x1

Output
* E_form (uncorrected): -1.356 eV/atom
* DFT total energy: -58.30 eV per cell